[1]
First-principles (GGA-PBE) data for an optimized crystal structure of ZnCr2Sn, as listed in the Alexandria database.

Properties
Formation energy from the elements (meV/atom): 715
Symmetry: I-42d

Unit cell a=9.6652 b=9.6652 c=9.6652 alpha=157.49 beta=157.49 gamma=32.04
Fractional positions:
Zn 0.0000 0.0000 0.0000
Zn 0.7500 0.2500 0.5000
Cr 0.0470 0.6250 0.9220
Cr 0.3750 0.2970 0.4220
Cr 0.7030 0.1250 0.0780
Cr 0.8750 0.9530 0.5780
Sn 0.2500 0.7500 0.5000
Sn 0.5000 0.5000 0.0000


[2]
First-principles (GGA-PBE) data for an optimized crystal structure of Zn4CrSn, as listed in the Alexandria database.

Properties
Formation energy from the elements (meV/atom): 159
Symmetry: F-43m

Unit cell a=5.2382 b=5.2382 c=5.2382 alpha=60.00 beta=60.00 gamma=60.00
Fractional positions:
Zn 0.3761 0.3761 0.3761
Zn 0.3761 0.3761 0.8717
Zn 0.3761 0.8717 0.3761
Zn 0.8717 0.3761 0.3761
Cr 0.7500 0.7500 0.7500
Sn 0.0000 0.0000 0.0000


[3]
First-principles (GGA-PBE) data for an optimized crystal structure of ZnCr3Sn, as listed in the Alexandria database.

Properties
Formation energy from the elements (meV/atom): 1383
Symmetry: Pm-3m

Unit cell a=5.2271 b=5.2271 c=5.2271 alpha=90.00 beta=90.00 gamma=90.00
Fractional positions:
Zn 0.0000 0.0000 0.0000
Cr 0.0000 0.5000 0.5000
Cr 0.5000 0.0000 0.5000
Cr 0.5000 0.5000 0.0000
Sn 0.5000 0.5000 0.5000


[4]
First-principles (GGA-PBE) data for an optimized crystal structure of Zn2Cr2Sn, as listed in the Alexandria database.

Properties
Formation energy from the elements (meV/atom): 331
Symmetry: P4/mbm

Unit cell a=6.6548 b=6.6548 c=3.5457 alpha=90.00 beta=90.00 gamma=90.00
Fractional positions:
Zn 0.1764 0.3236 0.0000
Zn 0.3236 0.8236 0.0000
Zn 0.6764 0.1764 0.0000
Zn 0.8236 0.6764 0.0000
Cr 0.1103 0.6103 0.5000
Cr 0.3897 0.1103 0.5000
Cr 0.6103 0.8897 0.5000
Cr 0.8897 0.3897 0.5000
Sn 0.0000 0.0000 0.5000
Sn 0.5000 0.5000 0.5000


[5]
First-principles (GGA-PBE) data for an optimized crystal structure of ZnCr2Sn4, as listed in the Alexandria database.

Properties
Formation energy from the elements (meV/atom): 625
Symmetry: I4/mmm

Unit cell a=7.6005 b=7.6005 c=7.6005 alpha=139.60 beta=139.60 gamma=58.46
Fractional positions:
Zn 0.0000 0.0000 0.0000
Cr 0.3965 0.3965 0.0000
Cr 0.6035 0.6035 0.0000
Sn 0.0000 0.5000 0.5000
Sn 0.1955 0.1955 0.0000
Sn 0.5000 0.0000 0.5000
Sn 0.8045 0.8045 0.0000


[6]
First-principles (GGA-PBE) data for an optimized crystal structure of ZrCrSn3, as listed in the Alexandria database.

Properties
Formation energy from the elements (meV/atom): 555
Symmetry: Pm-3m

Unit cell a=5.0336 b=5.0336 c=5.0336 alpha=90.00 beta=90.00 gamma=90.00
Fractional positions:
Zr 0.0000 0.0000 0.0000
Cr 0.5000 0.5000 0.5000
Sn 0.0000 0.5000 0.5000
Sn 0.5000 0.0000 0.5000
Sn 0.5000 0.5000 0.0000


[7]
First-principles (GGA-PBE) data for an optimized crystal structure of Zr2Cr2Sn, as listed in the Alexandria database.

Properties
Formation energy from the elements (meV/atom): -41
Symmetry: P4/mbm

Unit cell a=6.9662 b=6.9662 c=3.8080 alpha=90.00 beta=90.00 gamma=90.00
Fractional positions:
Zr 0.1839 0.3161 0.0000
Zr 0.3161 0.8161 0.0000
Zr 0.6839 0.1839 0.0000
Zr 0.8161 0.6839 0.0000
Cr 0.1018 0.6018 0.5000
Cr 0.3982 0.1018 0.5000
Cr 0.6018 0.8982 0.5000
Cr 0.8982 0.3982 0.5000
Sn 0.0000 0.0000 0.5000
Sn 0.5000 0.5000 0.5000


[8]
First-principles (GGA-PBE) data for an optimized crystal structure of ZrCrSn3, as listed in the Alexandria database.

Properties
Formation energy from the elements (meV/atom): 745
Symmetry: Pm-3m

Unit cell a=5.5297 b=5.5297 c=5.5297 alpha=90.00 beta=90.00 gamma=90.00
Fractional positions:
Zr 0.0000 0.0000 0.0000
Cr 0.5000 0.5000 0.5000
Sn 0.0000 0.0000 0.5000
Sn 0.0000 0.5000 0.0000
Sn 0.5000 0.0000 0.0000